# Ac2SnH | the Alexandria database | PBE | relaxed
data_Ac2SnH
_chemical_formula_sum 'Ac6 Sn3 H3'
_symmetry_space_group_name_H-M 'R -3 m'
_symmetry_Int_Tables_number 166
_symmetry_space_group_name_Hall '-R 3 2"'
_cell_length_a 4.6818
_cell_length_b 4.6818
_cell_length_c 19.7578
_cell_angle_alpha 90.00
_cell_angle_beta 90.00
_cell_angle_gamma 120.00
loop_
_atom_site_label
_atom_site_fract_x
_atom_site_fract_y
_atom_site_fract_z
_atom_site_occupancy
Ac1 0.0000 0.0000 0.2403 1
Sn1 0.0000 0.0000 0.0000 1
H1 0.0000 0.0000 0.5000 1
# Excess energy over the best structure of this formula in the dataset, meV/atom: 239

---

# Zr2Mn2Al5Pd | the Alexandria database | PBE | relaxed
data_Zr2Mn2Al5Pd
_chemical_formula_sum 'Zr4 Mn4 Al10 Pd2'
_symmetry_space_group_name_H-M 'P 4/m b m'
_symmetry_Int_Tables_number 127
_symmetry_space_group_name_Hall '-P 4 2ab'
_cell_length_a 9.014
_cell_length_b 9.014
_cell_length_c 4.015
_cell_angle_alpha 90.00
_cell_angle_beta 90.00
_cell_angle_gamma 90.00
loop_
_atom_site_label
_atom_site_fract_x
_atom_site_fract_y
_atom_site_fract_z
_atom_site_occupancy
Zr1 0.180 0.320 0.000 1
Mn1 0.116 0.616 0.000 1
Al1 0.000 0.500 0.500 1
Al2 0.063 0.793 0.500 1
Pd1 0.000 0.000 0.000 1
# Formation enthalpy at 0 K, eV per atom: -0.362

---

# PrNdSmDy | the Alexandria database | PBE | relaxed
data_PrNdSmDy
_chemical_formula_sum 'Pr2 Nd2 Sm2 Dy2'
_symmetry_space_group_name_H-M 'I -4 m 2'
_symmetry_Int_Tables_number 119
_symmetry_space_group_name_Hall 'I -4 -2'
_cell_length_a 5.157
_cell_length_b 5.157
_cell_length_c 10.287
_cell_angle_alpha 90.00
_cell_angle_beta 90.00
_cell_angle_gamma 90.00
loop_
_atom_site_label
_atom_site_fract_x
_atom_site_fract_y
_atom_site_fract_z
_atom_site_occupancy
Pr1 0.000 0.000 0.000 1
Nd1 0.000 0.500 0.750 1
Sm1 0.000 0.000 0.500 1
Dy1 0.000 0.500 0.250 1
# Excess energy over the best structure of this formula in the dataset, meV/atom: 0
# Formation enthalpy at 0 K, eV per atom: 0.017

---

# Cr3MoW3 | the Alexandria database | PBE | relaxed
data_Cr3MoW3
_chemical_formula_sum 'Cr18 Mo6 W18'
_symmetry_space_group_name_H-M 'R -3'
_symmetry_Int_Tables_number 148
_symmetry_space_group_name_Hall '-R 3'
_cell_length_a 6.8291
_cell_length_b 6.8291
_cell_length_c 16.1998
_cell_angle_alpha 90.00
_cell_angle_beta 90.00
_cell_angle_gamma 120.00
loop_
_atom_site_label
_atom_site_fract_x
_atom_site_fract_y
_atom_site_fract_z
_atom_site_occupancy
Cr1 0.0091 0.7524 0.3734 1
Mo1 0.0000 0.0000 0.2569 1
W1 0.0149 0.2568 0.1212 1
# Formation enthalpy at 0 K, eV per atom: 0.595

---

# NaBi2As2 | the Alexandria database | PBE | relaxed
data_NaBi2As2
_chemical_formula_sum 'Na2 Bi4 As4'
_symmetry_space_group_name_H-M 'P 4/m b m'
_symmetry_Int_Tables_number 127
_symmetry_space_group_name_Hall '-P 4 2ab'
_cell_length_a 8.103
_cell_length_b 8.103
_cell_length_c 4.056
_cell_angle_alpha 90.00
_cell_angle_beta 90.00
_cell_angle_gamma 90.00
loop_
_atom_site_label
_atom_site_fract_x
_atom_site_fract_y
_atom_site_fract_z
_atom_site_occupancy
Na1 0.000 0.000 0.000 1
Bi1 0.153 0.347 0.500 1
As1 0.158 0.658 0.000 1
# Excess energy over the best structure of this formula in the dataset, meV/atom: 99
# Formation enthalpy at 0 K, eV per atom: -0.021

---

In order of appearance, uncorrected energy = -50.95, -125.93, -37.60, -446.36, -36.97 eV/cell.
In order of appearance, spin magnetization = 0.001, 0.406, 0.000, 0.000, 0.000 μB/atom.